No. 1
## AlHF (GGA-PBE)

Data for crystalline AlHF at its relaxed geometry.

abc: 4.6496 4.6496 3.8097
angles: 113.12 113.12 81.84
Sites, in units of the cell vectors:
Al 0.0000 0.0000 0.0000
Al 0.5851 0.5851 0.7912
H 0.3204 0.7371 0.0224
H 0.7371 0.3204 0.0224
F 0.0297 0.0297 0.5418
F 0.3144 0.3144 0.3241

Computed properties:
- ρ (g/cm3) = 2.24
- spin magnetization (μB/atom) = 0.000
- space group = No. 8
- calculated volume (Å³/cell) = 69.7
- raw total energy (eV per cell) = -26.23



No. 2
## RbPu2CrBr8 (GGA-PBE)

Data for crystalline RbPu2CrBr8 at its relaxed geometry.

abc: 6.9535 7.1941 9.0162
angles: 90.17 90.36 97.11
Sites, in units of the cell vectors:
Rb 0.0000 0.0000 0.0000
Pu 0.4999 0.4997 0.2614
Pu 0.5001 0.5003 0.7386
Cr 0.0000 0.0000 0.5000
Br 0.2362 0.1487 0.3015
Br 0.2374 0.1472 0.7013
Br 0.2720 0.6418 0.4993
Br 0.2901 0.6311 0.9993
Br 0.7099 0.3689 0.0007
Br 0.7280 0.3582 0.5007
Br 0.7626 0.8528 0.2987
Br 0.7638 0.8513 0.6985

Computed properties:
- ρ (g/cm3) = 4.69
- spin magnetization (μB/atom) = 0.554
- formation energy from raw total energies (kJ/mol of formula units) = -1509
- space group = No. 2
- calculated volume (Å³/cell) = 447.5
- raw total energy (eV per cell) = -68.28



No. 3
## BaSb2TePd (GGA-PBE)

Data for crystalline BaSb2TePd at its relaxed geometry.

abc: 6.2985 6.2985 6.3208
angles: 90.00 90.00 90.00
Sites, in units of the cell vectors:
Ba 0.0000 0.0000 0.0000
Sb 0.0000 0.5000 0.0000
Sb 0.5000 0.0000 0.0000
Te 0.0000 0.0000 0.5000
Pd 0.5000 0.5000 0.5000

Computed properties:
- ρ (g/cm3) = 4.07
- spin magnetization (μB/atom) = 0.000
- formation energy from raw total energies (kJ/mol of formula units) = 548
- space group = No. 123
- calculated volume (Å³/cell) = 250.8
- raw total energy (eV per cell) = -12.82